Computed, not measured: a geometry-optimized CdSiAs structure at the PBE level of DFT.

Summary:
Total moment (μB/cell): 0.00
Energy relative to the lowest polymorph listed for this composition (meV/atom): 131

Cell: 6.461 6.461 6.461 Å, 90.00 90.00 90.00°
Space group F-43m (No. 216)
Symmetry-distinct sites (fractional):
Cd  0.000  0.000  0.000 x4
Si  0.250  0.250  0.250 x4
As  0.000  0.000  0.500 x4

---

Computed, not measured: a geometry-optimized Cd2SiAs structure at the PBE level of DFT.

Summary:
Total moment (μB/cell): 0.00

Cell: 12.055 3.546 4.368 Å, 90.00 111.06 90.00°
Space group Cm (No. 8)
Symmetry-distinct sites (fractional):
Cd  0.000  0.000  0.000 x2
Cd  0.188  0.000  0.687 x2
Si  0.246  0.500  0.244 x2
As  0.401  0.000  0.402 x2

---

Computed, not measured: a geometry-optimized CdSi2As structure at the PBE level of DFT.

Summary:
Total moment (μB/cell): 0.00
Energy relative to the lowest polymorph listed for this composition (meV/atom): 82

Cell: 3.293 3.293 7.061 Å, 90.00 90.00 90.00°
Space group P4mm (No. 99)
Symmetry-distinct sites (fractional):
Cd  0.000  0.000  0.000 x1
Si  0.000  0.000  0.471 x1
Si  0.500  0.500  0.307 x1
As  0.500  0.500  0.680 x1

---

Computed, not measured: a geometry-optimized CdSiAs2 structure at the PBE level of DFT.

Summary:
Total moment (μB/cell): 0.00

Cell: 3.417 4.646 9.834 Å, 90.00 90.00 90.00°
Space group Cmm2 (No. 35)
Symmetry-distinct sites (fractional):
Cd  0.000  0.000  0.000 x2
Si  0.000  0.500  0.262 x2
As  0.000  0.000  0.475 x2
As  0.000  0.500  0.744 x2

---

Computed, not measured: a geometry-optimized CdSi2As structure at the PBE level of DFT.

Summary:
Total moment (μB/cell): 0.00
Energy relative to the lowest polymorph listed for this composition (meV/atom): 140

Cell: 3.316 4.629 9.899 Å, 90.00 90.00 90.00°
Space group Cmm2 (No. 35)
Symmetry-distinct sites (fractional):
Cd  0.000  0.000  0.000 x2
Si  0.000  0.000  0.479 x2
Si  0.000  0.500  0.286 x2
As  0.000  0.500  0.693 x2

---

Computed, not measured: a geometry-optimized Cd2SiAs structure at the PBE level of DFT.

Summary:
Total moment (μB/cell): 0.00

Cell: 2.803 5.782 5.203 Å, 90.00 90.53 90.00°
Space group P2/m (No. 10)
Symmetry-distinct sites (fractional):
Cd  0.230  0.000  0.251 x2
Si  0.000  0.500  0.500 x1
As  0.000  0.500  0.000 x1

---

Computed, not measured: a geometry-optimized CdSiAs2 structure at the PBE level of DFT.

Summary:
Total moment (μB/cell): 0.00

Cell: 5.302 5.302 5.704 Å, 90.00 90.00 90.00°
Space group I4/mmm (No. 139)
Symmetry-distinct sites (fractional):
Cd  0.000  0.000  0.000 x2
Si  0.000  0.000  0.500 x2
As  0.000  0.500  0.250 x4

---

Computed, not measured: a geometry-optimized Cd2SiAs structure at the PBE level of DFT.

Summary:
Total moment (μB/cell): 0.00

Cell: 2.9867 2.9867 31.8070 Å, 90.00 90.00 120.00°
Space group R-3m (No. 166, hexagonal axes)
Symmetry-distinct sites (fractional):
Cd  0.0000  0.0000  0.2487 x6
Si  0.0000  0.0000  0.0000 x3
As  0.0000  0.0000  0.5000 x3

---

Number 1: formation energy from raw total energies 0.40 eV/atom. Number 2: formation energy from raw total energies 0.20 eV/atom. Number 3: formation energy from raw total energies 0.40 eV/atom. Number 4: formation energy from raw total energies 0.42 eV/atom. Number 5: formation energy from raw total energies 0.46 eV/atom. Number 6: formation energy from raw total energies 0.30 eV/atom. Number 7: formation energy from raw total energies 0.44 eV/atom. Number 8: formation energy from raw total energies 0.37 eV/atom.